MgCoIrO4 | GGA+U | relaxed

The structure belongs to space group Imma (No. 74); the cell edges are 5.8385, 6.1447 and 8.4732 Å and the angles 90.00°, 90.00° and 90.00°. The distinct sites, in fractional coordinates, are Mg at (0.0000, 0.2500, 0.1272), Co at (0.2500, 0.2500, 0.7500), Ir at (0.0000, 0.0000, 0.5000), O at (0.0000, 0.0333, 0.7444) and O at (0.2340, 0.2500, 0.5218).

The calculation puts the total magnetization at 0.0 μB/cell. The value obtained for the uncorrected energy is -6.32 eV per atom.